(1)
{"formula": "Sn3RhN", "functional": "PBE", "state": "relaxed", "sg": "Pm-3m (221)", "dos_ef_per_ev_cell": 1.093, "polymorph_energy_mev_per_atom": 388.7, "raw_formation_energy_mev_per_atom": 917, "magmom_total_mub_per_atom": 0.00, "lattice_angstrom": [[-1.682, 4.563, -1.269], [-0.873, -1.622, -4.676], [-4.655, -1.345, 1.336]], "species": ["Sn", "Sn", "Rh", "Sn", "N"], "fractional_positions": [[0.000, 0.500, 0.000], [0.500, 0.000, 0.000], [0.000, 0.000, 0.000], [0.000, 0.000, 0.500], [0.500, 0.500, 0.500]]}

***

(2)
{"formula": "Y12Ho2Tm", "functional": "PBE", "state": "relaxed", "sg": "P4/nbm (125)", "formation_energy_ev_per_atom": 0.3511, "dos_ef_per_ev_cell": 44.182, "magmom_total_mub_per_atom": 0.00, "lattice_angstrom": [[6.417, 0.000, 0.000], [0.000, 6.417, 0.000], [0.000, 0.000, 25.056]], "species": ["Y", "Tm", "Y", "Y", "Y", "Y", "Y", "Y", "Tm", "Y", "Y", "Y", "Y", "Y", "Y", "Y", "Y", "Y", "Y", "Y", "Y", "Ho", "Ho", "Y", "Y", "Ho", "Y", "Y", "Y", "Ho"], "fractional_positions": [[0.331, 0.169, 0.561], [0.500, 0.000, 0.000], [0.169, 0.331, 0.439], [0.331, 0.831, 0.439], [0.316, 0.816, 0.115], [0.816, 0.684, 0.115], [0.669, 0.831, 0.561], [0.184, 0.684, 0.885], [0.000, 0.500, 0.000], [0.684, 0.184, 0.115], [0.831, 0.669, 0.439], [0.000, 0.000, 0.662], [0.169, 0.669, 0.561], [0.816, 0.316, 0.885], [0.000, 0.000, 0.215], [0.500, 0.500, 0.662], [0.500, 0.500, 0.785], [0.684, 0.816, 0.885], [0.000, 0.000, 0.338], [0.000, 0.000, 0.785], [0.500, 0.500, 0.338], [0.000, 0.500, 0.726], [0.000, 0.500, 0.274], [0.316, 0.184, 0.885], [0.184, 0.316, 0.115], [0.500, 0.000, 0.726], [0.669, 0.169, 0.439], [0.500, 0.500, 0.215], [0.831, 0.331, 0.561], [0.500, 0.000, 0.274]]}

***

(3)
{"formula": "GdScBeAl", "functional": "PBE", "state": "relaxed", "sg": "F-43m (216)", "formation_energy_ev_per_atom": -0.1489, "dos_ef_per_ev_cell": 3.663, "magmom_total_mub_per_atom": 1.80, "lattice_angstrom": [[-1.395, -4.192, -1.996], [-1.131, -3.772, 2.827], [-4.610, -1.449, 0.378]], "species": ["Al", "Sc", "Be", "Gd"], "fractional_positions": [[0.250, 0.250, 0.250], [0.000, 0.000, 0.000], [0.750, 0.750, 0.750], [0.500, 0.500, 0.500]]}

***

(4)
{"formula": "HfCoC2", "functional": "PBE", "state": "relaxed", "sg": "Fm-3m (225)", "formation_energy_ev_per_atom": 0.6594, "dos_ef_per_ev_cell": 2.398, "magmom_total_mub_per_atom": 0.26, "lattice_angstrom": [[0.000, 2.720, 2.720], [2.720, 0.000, 2.720], [2.720, 2.720, 0.000]], "species": ["C", "C", "Hf", "Co"], "fractional_positions": [[0.750, 0.750, 0.750], [0.250, 0.250, 0.250], [0.500, 0.500, 0.500], [0.000, 0.000, 0.000]]}

***

(5)
{"formula": "Hg2RuPb", "functional": "PBE", "state": "relaxed", "sg": "Cm (8)", "formation_energy_ev_per_atom": 0.3823, "dos_ef_per_ev_cell": 2.727, "magmom_total_mub_per_atom": 0.00, "lattice_angstrom": [[-4.946, 1.884, -0.222], [-3.975, 0.880, -3.389], [-4.725, -3.954, -0.197]], "species": ["Hg", "Hg", "Ru", "Pb"], "fractional_positions": [[0.265, 0.265, 0.234], [0.052, 0.052, 0.028], [0.736, 0.736, 0.611], [0.447, 0.447, 0.626]]}

***

(6)
{"formula": "LuScBe2", "functional": "PBE", "state": "relaxed", "sg": "P4/mmm (123)", "formation_energy_ev_per_atom": 0.0061, "dos_ef_per_ev_cell": 3.247, "polymorph_energy_mev_per_atom": 0.0, "magmom_total_mub_per_atom": 0.00, "lattice_angstrom": [[3.258, 0.000, 0.000], [0.000, 3.258, 0.000], [0.000, 0.000, 6.479]], "species": ["Be", "Sc", "Be", "Lu"], "fractional_positions": [[0.000, 0.000, 0.225], [0.500, 0.500, 0.000], [0.000, 0.000, 0.775], [0.500, 0.500, 0.500]]}

***

(7)
{"formula": "VSb2WI", "functional": "PBE", "state": "relaxed", "sg": "P4/mmm (123)", "dos_ef_per_ev_cell": 3.760, "raw_formation_energy_mev_per_atom": 1377, "magmom_total_mub_per_atom": 1.07, "lattice_angstrom": [[-1.188, 4.859, 1.016], [-2.949, -1.532, 3.875], [4.227, 0.333, 3.349]], "species": ["V", "Sb", "Sb", "I", "W"], "fractional_positions": [[0.000, 0.000, 0.000], [0.500, 0.000, 0.000], [0.000, 0.500, 0.000], [0.000, 0.000, 0.500], [0.500, 0.500, 0.500]]}

***

(8)
{"formula": "La2Pr3Sc", "functional": "PBE", "state": "relaxed", "sg": "Pnnm (58)", "formation_energy_ev_per_atom": 0.0907, "dos_ef_per_ev_cell": 20.485, "polymorph_energy_mev_per_atom": 51.8, "magmom_total_mub_per_atom": 0.00, "lattice_angstrom": [[-5.211, 2.315, -0.857], [-3.835, -6.029, 7.027], [1.356, 4.875, 4.923]], "species": ["La", "La", "Sc", "Sc", "Pr", "Pr", "La", "Pr", "Pr", "La", "Pr", "Pr"], "fractional_positions": [[0.500, 0.169, 0.744], [0.000, 0.669, 0.756], [0.000, 0.000, 0.500], [0.500, 0.500, 0.000], [0.000, 0.331, 0.752], [0.000, 0.669, 0.248], [0.000, 0.331, 0.244], [0.000, 0.000, 0.000], [0.500, 0.500, 0.500], [0.500, 0.831, 0.256], [0.500, 0.831, 0.748], [0.500, 0.169, 0.252]]}

***

(9)
{"formula": "CaScOs2", "functional": "PBE", "state": "relaxed", "sg": "Immm (71)", "formation_energy_ev_per_atom": 0.3421, "dos_ef_per_ev_cell": 3.093, "polymorph_energy_mev_per_atom": 226.7, "magmom_total_mub_per_atom": 0.00, "lattice_angstrom": [[5.372, -0.002, 0.000], [2.207, 4.898, 0.000], [-3.154, -3.432, 2.671]], "species": ["Sc", "Ca", "Os", "Os"], "fractional_positions": [[0.750, 0.250, 0.500], [0.250, 0.750, 0.500], [0.991, 0.991, 0.000], [0.509, 0.509, 0.000]]}

***

(10)
{"formula": "Pm2Pr7Y2", "functional": "PBE", "state": "relaxed", "sg": "C2/m (12)", "formation_energy_ev_per_atom": 0.1266, "dos_ef_per_ev_cell": 16.117, "magmom_total_mub_per_atom": 0.00, "lattice_angstrom": [[-3.234, -3.517, 6.965], [6.698, -2.139, 0.583], [0.109, 6.760, 2.018]], "species": ["Pr", "Pr", "Y", "Pr", "Pr", "Pr", "Pm", "Pr", "Pr", "Pm", "Y"], "fractional_positions": [[0.314, 0.572, 0.572], [0.331, 0.094, 0.504], [0.032, 0.809, 0.809], [0.669, 0.496, 0.906], [0.331, 0.504, 0.094], [0.686, 0.428, 0.428], [0.000, 0.718, 0.282], [0.500, 0.000, 0.000], [0.669, 0.906, 0.496], [0.000, 0.282, 0.718], [0.968, 0.191, 0.191]]}

***

(11)
{"formula": "Ba5P", "functional": "PBE", "state": "relaxed", "sg": "C2/m (12)", "formation_energy_ev_per_atom": -0.3095, "dos_ef_per_ev_cell": 7.043, "polymorph_energy_mev_per_atom": 1.8, "magmom_total_mub_per_atom": 0.00, "lattice_angstrom": [[-7.730, 0.465, -1.804], [-6.262, -2.789, -4.028], [-6.463, -6.713, 5.557]], "species": ["Ba", "Ba", "Ba", "Ba", "Ba", "P"], "fractional_positions": [[0.611, 0.611, 0.109], [0.389, 0.389, 0.891], [0.000, 0.000, 0.500], [0.341, 0.341, 0.259], [0.659, 0.659, 0.741], [0.000, 0.000, 0.000]]}

***

(12)
{"formula": "DyThTcNi", "functional": "PBE", "state": "relaxed", "sg": "F-43m (216)", "formation_energy_ev_per_atom": -0.2012, "dos_ef_per_ev_cell": 3.397, "magmom_total_mub_per_atom": 0.00, "lattice_angstrom": [[-0.001, -2.948, 3.923], [3.739, -3.088, 0.749], [3.150, 0.806, 3.675]], "species": ["Th", "Ni", "Tc", "Dy"], "fractional_positions": [[0.500, 0.500, 0.500], [0.250, 0.250, 0.250], [0.750, 0.750, 0.750], [0.000, 0.000, 0.000]]}

***

(13)
{"formula": "SrLaPrTl", "functional": "PBE", "state": "relaxed", "sg": "F-43m (216)", "formation_energy_ev_per_atom": -0.0390, "dos_ef_per_ev_cell": 4.251, "magmom_total_mub_per_atom": 0.00, "lattice_angstrom": [[5.806, 0.000, 0.000], [2.903, 5.029, 0.000], [2.903, 1.676, 4.741]], "species": ["Tl", "La", "Sr", "Pr"], "fractional_positions": [[0.500, 0.500, 0.500], [0.750, 0.750, 0.750], [0.000, 0.000, 0.000], [0.250, 0.250, 0.250]]}

***

(14)
{"formula": "TcMoRh2", "functional": "PBE", "state": "relaxed", "sg": "Pmm2 (25)", "formation_energy_ev_per_atom": -0.2092, "dos_ef_per_ev_cell": 2.431, "polymorph_energy_mev_per_atom": 0.0, "magmom_total_mub_per_atom": 0.00, "lattice_angstrom": [[4.400, 0.000, 0.000], [0.000, 2.735, -0.003], [0.000, 0.005, 4.823]], "species": ["Rh", "Rh", "Tc", "Mo"], "fractional_positions": [[0.500, 0.125, 0.297], [0.000, 0.125, 0.958], [0.000, 0.625, 0.457], [0.500, 0.625, 0.789]]}

***

(15)
{"formula": "Nd5Ho4Mg", "functional": "PBE", "state": "relaxed", "sg": "P4/mmm (123)", "formation_energy_ev_per_atom": -0.0020, "dos_ef_per_ev_cell": 13.069, "magmom_total_mub_per_atom": 0.00, "lattice_angstrom": [[3.628, 0.000, 0.000], [0.000, 3.628, 0.000], [0.000, 0.000, 24.622]], "species": ["Ho", "Nd", "Mg", "Ho", "Nd", "Nd", "Nd", "Ho", "Ho", "Nd"], "fractional_positions": [[0.000, 0.000, 0.807], [0.500, 0.500, 0.705], [0.000, 0.000, 0.000], [0.000, 0.000, 0.602], [0.500, 0.500, 0.091], [0.500, 0.500, 0.909], [0.500, 0.500, 0.500], [0.000, 0.000, 0.193], [0.000, 0.000, 0.398], [0.500, 0.500, 0.295]]}

***

(16)
{"formula": "Ag5Br3", "functional": "PBE", "state": "relaxed", "sg": "P6_3/mcm (193)", "dos_ef_per_ev_cell": 1.481, "polymorph_energy_mev_per_atom": 168.9, "raw_formation_energy_mev_per_atom": -2, "magmom_total_mub_per_atom": 0.00, "lattice_angstrom": [[-6.686, -2.614, 3.702], [6.011, -5.155, -1.595], [3.034, 1.512, 6.547]], "species": ["Ag", "Ag", "Ag", "Ag", "Ag", "Ag", "Br", "Br", "Ag", "Ag", "Ag", "Br", "Br", "Br", "Ag", "Br"], "fractional_positions": [[0.667, 0.333, 0.500], [0.192, 0.192, 0.750], [0.808, 0.000, 0.750], [0.667, 0.333, 0.000], [0.808, 0.808, 0.250], [0.000, 0.808, 0.750], [0.000, 0.482, 0.750], [0.518, 0.518, 0.750], [0.333, 0.667, 0.500], [0.333, 0.667, 0.000], [0.192, 0.000, 0.250], [0.482, 0.000, 0.750], [0.518, 0.000, 0.250], [0.000, 0.518, 0.250], [0.000, 0.192, 0.250], [0.482, 0.482, 0.250]]}

***

(17)
{"formula": "YUPt6", "functional": "PBE", "state": "relaxed", "sg": "P4/mmm (123)", "formation_energy_ev_per_atom": -0.9046, "dos_ef_per_ev_cell": 7.945, "magmom_total_mub_per_atom": 0.15, "lattice_angstrom": [[-3.364, -0.402, 2.383], [2.397, -1.078, 3.201], [0.618, 7.944, 2.212]], "species": ["Pt", "Y", "U", "Pt", "Pt", "Pt", "Pt", "Pt"], "fractional_positions": [[0.500, 0.000, 0.255], [0.000, 0.000, 0.000], [0.000, 0.000, 0.500], [0.500, 0.500, 0.500], [0.500, 0.500, 0.000], [0.000, 0.500, 0.745], [0.500, 0.000, 0.745], [0.000, 0.500, 0.255]]}

***

(18)
{"formula": "Tc2Sb6Pt", "functional": "PBE", "state": "relaxed", "sg": "P-31m (162)", "dos_ef_per_ev_cell": 4.753, "raw_formation_energy_mev_per_atom": -32, "magmom_total_mub_per_atom": 0.00, "lattice_angstrom": [[5.930, 0.000, 0.000], [0.000, 5.617, -3.243], [0.000, 0.000, 6.485]], "species": ["Sb", "Pt", "Sb", "Tc", "Tc", "Sb", "Sb", "Sb", "Sb"], "fractional_positions": [[0.213, 0.637, 0.000], [0.000, 0.000, 0.000], [0.213, 0.000, 0.637], [0.500, 0.667, 0.333], [0.500, 0.333, 0.667], [0.787, 0.363, 0.000], [0.787, 0.000, 0.363], [0.787, 0.637, 0.637], [0.213, 0.363, 0.363]]}

***

(19)
{"formula": "GePtBr2", "functional": "PBE", "state": "relaxed", "sg": "R-3m (166)", "dos_ef_per_ev_cell": 0.353, "polymorph_energy_mev_per_atom": 0.0, "raw_formation_energy_mev_per_atom": 270, "magmom_total_mub_per_atom": 0.00, "lattice_angstrom": [[-1.898, 0.944, 8.890], [-2.793, -2.448, 8.350], [0.592, -1.584, 8.981]], "species": ["Pt", "Br", "Br", "Ge"], "fractional_positions": [[0.000, 0.000, 0.000], [0.091, 0.091, 0.091], [0.909, 0.909, 0.909], [0.500, 0.500, 0.500]]}

***

(20)
{"formula": "CrAgRh", "functional": "PBE", "state": "relaxed", "sg": "F-43m (216)", "formation_energy_ev_per_atom": 0.6130, "dos_ef_per_ev_cell": 2.939, "polymorph_energy_mev_per_atom": 400.0, "magmom_total_mub_per_atom": 0.92, "lattice_angstrom": [[4.194, 0.000, 0.000], [2.097, 3.632, 0.000], [2.097, 1.211, 3.425]], "species": ["Rh", "Cr", "Ag"], "fractional_positions": [[0.000, 0.000, 0.000], [0.750, 0.750, 0.750], [0.500, 0.500, 0.500]]}